Compound: Co2Au2Se
Source: Alexandria via LeMat-Bulk
Functional: PBE-GGA
Structure: optimized geometry

Cell: 6.086 6.086 4.255 Å, 90.00 90.00 90.00°
Last column: magnetic moment on the atom in μB.
Positions (direct):
Au: 0.337 0.163 0.500  0.01
Co: 0.860 0.640 0.000  1.54
Co: 0.360 0.860 0.000  1.53
Co: 0.640 0.140 0.000  1.53
Au: 0.837 0.337 0.500  0.02
Au: 0.163 0.663 0.500  0.02
Se: 0.000 0.000 0.000  0.10
Se: 0.500 0.500 0.000  0.10
Au: 0.663 0.837 0.500  0.01
Co: 0.140 0.360 0.000  1.54

Properties
Calculated total energy   -4.63 eV/atom
Fermi-level density of states   7.40 states/eV/cell
Magnetic moment   6.4 μB/cell
Formation energy from raw total energies   225 meV/atom